No. 1
The following is a DFT calculation (PBE) of a geometry-optimized RbGeHSe structure.

The value obtained for the total energy is -3.519 eV/atom. As for the space group: No. 8. Its magnetization is 0.00 μB per formula unit. The energy above the lowest structure with this stoichiometry comes out at 15.8 meV/atom.

a b c (Å): 3.813 6.219 6.433
angles (deg): 61.33 72.74 72.11
Sites, in units of the cell vectors:
Rb: 0.413 0.081 0.314
Ge: 0.003 0.512 0.701
H: 0.902 0.425 0.992
Se: 0.641 0.219 0.720

=====

No. 2
The following is a DFT calculation (PBE) of a geometry-optimized RbGeHSe structure.

The value obtained for the total energy is -3.535 eV/atom. As for the space group: No. 1. Its magnetization is 0.00 μB per formula unit. The energy above the lowest structure with this stoichiometry comes out at 0.0 meV/atom.

a b c (Å): 3.828 5.226 5.738
angles (deg): 93.93 109.64 90.00
Sites, in units of the cell vectors:
Rb: 0.662 0.253 0.395
Ge: 0.369 0.729 0.812
H: 0.360 0.041 0.793
Se: 0.027 0.738 0.126

=====

No. 3
The following is a DFT calculation (PBE) of a geometry-optimized Rb2SnGeH structure.

The value obtained for the total energy is -2.259 eV/atom. As for the space group: No. 123. Its magnetization is 1.39 μB per formula unit.

a b c (Å): 7.148 3.851 7.148
angles (deg): 90.00 90.00 90.00
Site moments in Bohr magnetons follow the coordinates.
Sites, in units of the cell vectors:
H: 0.000 0.500 0.000  0.00
Ge: 0.500 0.500 0.500  0.53
Sn: 0.000 0.000 0.000  -0.10
Rb: 0.000 0.000 0.500  0.01
Rb: 0.500 0.000 0.000  0.01

=====

No. 4
The following is a DFT calculation (PBE) of a geometry-optimized Rb2TlGeH structure.

The value obtained for the total energy is -2.267 eV/atom. As for the space group: No. 123. Its magnetization is 0.01 μB per formula unit.

a b c (Å): 5.914 5.914 4.347
angles (deg): 90.00 90.00 90.00
Sites, in units of the cell vectors:
H: 0.000 0.000 0.000
Tl: 0.500 0.500 0.500
Ge: 0.000 0.000 0.500
Rb: 0.000 0.500 0.000
Rb: 0.500 0.000 0.000

=====

No. 5
The following is a DFT calculation (PBE) of a geometry-optimized Re2GeH structure.

The value obtained for the total energy is -7.297 eV/atom. As for the space group: No. 225. Its magnetization is 0.00 μB per formula unit. The energy above the lowest structure with this stoichiometry comes out at 148.8 meV/atom.

a b c (Å): 4.155 4.155 4.155
angles (deg): 60.00 60.00 60.00
Sites, in units of the cell vectors:
Re: 0.250 0.250 0.250
Re: 0.750 0.750 0.750
Ge: 0.500 0.500 0.500
H: 0.000 0.000 0.000

=====

No. 6
The following is a DFT calculation (PBE) of a geometry-optimized ReGe2H structure.

The value obtained for the total energy is -5.404 eV/atom. As for the space group: No. 225. Its magnetization is 0.00 μB per formula unit. The energy above the lowest structure with this stoichiometry comes out at 0.0 meV/atom.

a b c (Å): 4.280 4.280 4.280
angles (deg): 60.00 60.00 60.00
Sites, in units of the cell vectors:
Re: 0.500 0.500 0.500
Ge: 0.250 0.250 0.250
Ge: 0.750 0.750 0.750
H: 0.000 0.000 0.000

=====

No. 7
The following is a DFT calculation (PBE) of a geometry-optimized ReGeH3 structure.

The value obtained for the total energy is -4.827 eV/atom. As for the space group: No. 221. Its magnetization is 0.00 μB per formula unit. The energy above the lowest structure with this stoichiometry comes out at 0.0 meV/atom.

a b c (Å): 3.578 3.578 3.578
angles (deg): 90.00 90.00 90.00
Sites, in units of the cell vectors:
Re: 0.000 0.000 0.000
Ge: 0.500 0.500 0.500
H: 0.000 0.500 0.000
H: 0.000 0.000 0.500
H: 0.500 0.000 0.000

=====

No. 8
The following is a DFT calculation (PBE) of a geometry-optimized ReGeH structure.

The value obtained for the total energy is -6.580 eV/atom. As for the space group: No. 14. Its magnetization is 0.00 μB per formula unit.

a b c (Å): 4.834 6.240 5.031
angles (deg): 90.00 90.00 108.83
Sites, in units of the cell vectors:
Re: 0.372 0.222 0.257
Re: 0.628 0.278 0.757
Re: 0.628 0.778 0.743
Re: 0.372 0.722 0.243
Ge: 0.810 0.582 0.167
Ge: 0.190 0.918 0.667
Ge: 0.190 0.418 0.833
Ge: 0.810 0.082 0.333
H: 0.218 0.939 0.136
H: 0.782 0.561 0.636
H: 0.782 0.061 0.864
H: 0.218 0.439 0.364

=====

> Which value of magnetization does entry 2 give?

0.00 μB per formula unit